# LiSn2Pt2 (PBE-GGA, optimized geometry)
# Size of the total moment, μB per formula unit: 0.00
# Calculated density, g/cm³: 9.23
# ΔE_f, eV per atom: -0.350
# Total DFT energy (no corrections), eV/atom: -4.75
# Density of states at the Fermi level, states/eV per cell: 3.61
# Distance to the lowest polymorph of the same formula, eV per atom: 0.224
data_LiSn2Pt2
_cell_length_a 4.680
_cell_length_b 4.680
_cell_length_c 10.426
_cell_angle_alpha 90.00
_cell_angle_beta 90.00
_cell_angle_gamma 90.00
_symmetry_space_group_name_H-M 'I 4/m m m'
_symmetry_Int_Tables_number 139
_symmetry_space_group_name_Hall '-I 4 2'
loop_
_atom_site_label
_atom_site_type_symbol
_atom_site_fract_x
_atom_site_fract_y
_atom_site_fract_z
Li1 Li 0.000 0.000 0.000
Sn1 Sn 0.000 0.500 0.250
Pt1 Pt 0.000 0.000 0.374